No. 1
The following is a GGA-PBE calculation of a geometry-optimized LaHgSe structure, from Alexandria.

- E above lowest polymorph: 330.7 meV/atom
- Uncorrected formation energy: -2.88 eV per formula unit

a = 4.869 Å, b = 4.869 Å, c = 4.652 Å
α = 90.00°, β = 90.00°, γ = 120.00°
Fractional coordinates of all 3 atoms:
Hg 0.000 0.000 0.997
La 0.667 0.333 0.425
Se 0.333 0.667 0.577



No. 2
The following is a GGA-PBE calculation of a geometry-optimized La3HgSe2 structure, from Alexandria.

- Uncorrected formation energy: -7.21 eV per formula unit

a = 5.107 Å, b = 7.346 Å, c = 10.517 Å
α = 90.00°, β = 90.00°, γ = 110.34°
Fractional coordinates of all 12 atoms:
La 0.630 0.260 0.052
La 0.117 0.234 0.750
La 0.630 0.260 0.448
La 0.883 0.766 0.250
La 0.370 0.740 0.948
La 0.370 0.740 0.552
Hg 0.223 0.447 0.250
Hg 0.777 0.553 0.750
Se 0.000 0.000 0.000
Se 0.000 0.000 0.500
Se 0.475 0.951 0.250
Se 0.525 0.049 0.750



No. 3
The following is a GGA-PBE calculation of a geometry-optimized LaHgSe structure, from Alexandria.

- E above lowest polymorph: 5.2 meV/atom
- Uncorrected formation energy: -3.86 eV per formula unit

a = 4.305 Å, b = 4.305 Å, c = 8.939 Å
α = 90.00°, β = 90.00°, γ = 90.00°
Fractional coordinates of all 6 atoms:
La 0.000 0.500 0.319
La 0.500 0.000 0.681
Hg 0.000 0.000 0.000
Hg 0.500 0.500 0.000
Se 0.000 0.500 0.658
Se 0.500 0.000 0.342



No. 4
The following is a GGA-PBE calculation of a geometry-optimized La2HgSe structure, from Alexandria.

- E above lowest polymorph: 149.4 meV/atom
- Uncorrected formation energy: -4.23 eV per formula unit

a = 3.649 Å, b = 3.667 Å, c = 9.015 Å
α = 65.95°, β = 90.00°, γ = 90.00°
Fractional coordinates of all 4 atoms:
Hg 0.500 0.750 0.750
La 0.000 0.982 0.018
La 0.000 0.518 0.482
Se 0.500 0.250 0.250



No. 5
The following is a GGA-PBE calculation of a geometry-optimized La2HgSe structure, from Alexandria.

- E above lowest polymorph: 179.3 meV/atom
- Uncorrected formation energy: -4.11 eV per formula unit

a = 8.475 Å, b = 8.475 Å, c = 8.475 Å
α = 153.52°, β = 152.59°, γ = 38.47°
Fractional coordinates of all 4 atoms:
Hg 0.298 0.798 0.500
La 0.964 0.964 0.000
La 0.694 0.194 0.500
Se 0.544 0.544 0.000



No. 6
The following is a GGA-PBE calculation of a geometry-optimized La2HgSe structure, from Alexandria.

- E above lowest polymorph: 58.4 meV/atom
- Uncorrected formation energy: -4.59 eV per formula unit

a = 4.427 Å, b = 4.427 Å, c = 6.348 Å
α = 90.00°, β = 90.00°, γ = 90.00°
Fractional coordinates of all 4 atoms:
Hg 0.500 0.500 0.875
La 0.000 0.000 0.875
La 0.500 0.500 0.375
Se 0.000 0.000 0.375



No. 7
The following is a GGA-PBE calculation of a geometry-optimized LaHgSe2 structure, from Alexandria.

- Uncorrected formation energy: -3.59 eV per formula unit

a = 7.989 Å, b = 7.989 Å, c = 7.989 Å
α = 32.81°, β = 32.81°, γ = 32.81°
Fractional coordinates of all 4 atoms:
Hg 0.508 0.508 0.508
La 0.751 0.751 0.751
Se 0.027 0.027 0.027
Se 0.213 0.213 0.213



No. 8
The following is a GGA-PBE calculation of a geometry-optimized LaHgSe structure, from Alexandria.

- E above lowest polymorph: 194.9 meV/atom
- Uncorrected formation energy: -3.29 eV per formula unit

a = 4.045 Å, b = 5.558 Å, c = 4.415 Å
α = 90.00°, β = 90.00°, γ = 90.00°
Fractional coordinates of all 3 atoms:
La 0.000 0.500 0.310
Hg 0.500 0.000 0.314
Se 0.500 0.500 0.810



No. 9
The following is a GGA-PBE calculation of a geometry-optimized LaHg2Se2 structure, from Alexandria.

- E above lowest polymorph: 0.0 meV/atom
- Uncorrected formation energy: -4.04 eV per formula unit

a = 4.020 Å, b = 4.020 Å, c = 9.342 Å
α = 77.57°, β = 77.57°, γ = 90.00°
Fractional coordinates of all 5 atoms:
Hg 0.750 0.250 0.500
Hg 0.250 0.750 0.500
Se 0.417 0.417 0.165
Se 0.583 0.583 0.835
La 0.000 0.000 0.000



No. 10
The following is a GGA-PBE calculation of a geometry-optimized LaHgSe2 structure, from Alexandria.

- Uncorrected formation energy: -3.79 eV per formula unit

a = 6.550 Å, b = 6.550 Å, c = 8.518 Å
α = 67.39°, β = 67.39°, γ = 90.00°
Fractional coordinates of all 8 atoms:
Hg 0.000 0.000 0.000
Hg 0.750 0.250 0.500
Se 0.618 0.125 0.250
Se 0.132 0.625 0.250
Se 0.375 0.382 0.750
Se 0.875 0.868 0.750
La 0.500 0.500 0.000
La 0.250 0.750 0.500



No. 11
The following is a GGA-PBE calculation of a geometry-optimized La2HgSe2 structure, from Alexandria.

- E above lowest polymorph: 32.6 meV/atom
- Uncorrected formation energy: -6.89 eV per formula unit

a = 8.476 Å, b = 8.476 Å, c = 3.909 Å
α = 90.00°, β = 90.00°, γ = 90.00°
Fractional coordinates of all 10 atoms:
Hg 0.000 0.000 0.000
Hg 0.500 0.500 0.000
Se 0.144 0.644 0.500
Se 0.644 0.856 0.500
Se 0.856 0.356 0.500
Se 0.356 0.144 0.500
La 0.345 0.845 0.000
La 0.845 0.655 0.000
La 0.655 0.155 0.000
La 0.155 0.345 0.000



No. 12
The following is a GGA-PBE calculation of a geometry-optimized LaHg2Se2 structure, from Alexandria.

- E above lowest polymorph: 248.7 meV/atom
- Uncorrected formation energy: -2.79 eV per formula unit

a = 5.463 Å, b = 5.463 Å, c = 5.977 Å
α = 62.81°, β = 62.81°, γ = 90.00°
Fractional coordinates of all 5 atoms:
Hg 0.354 0.354 0.293
Hg 0.646 0.646 0.707
Se 0.750 0.250 0.500
Se 0.250 0.750 0.500
La 0.000 0.000 0.000



No. 13
The following is a GGA-PBE calculation of a geometry-optimized La2HgSe structure, from Alexandria.

- E above lowest polymorph: 29.5 meV/atom
- Uncorrected formation energy: -4.71 eV per formula unit

a = 4.298 Å, b = 4.298 Å, c = 8.151 Å
α = 74.71°, β = 74.71°, γ = 60.00°
Fractional coordinates of all 4 atoms:
Hg 0.250 0.250 0.250
Se 0.750 0.750 0.750
La 0.008 0.008 0.977
La 0.492 0.492 0.523



No. 14
The following is a GGA-PBE calculation of a geometry-optimized LaHgSe structure, from Alexandria.

- E above lowest polymorph: 382.6 meV/atom
- Uncorrected formation energy: -2.73 eV per formula unit

a = 5.128 Å, b = 5.128 Å, c = 5.128 Å
α = 60.00°, β = 60.00°, γ = 60.00°
Fractional coordinates of all 3 atoms:
Hg 0.500 0.500 0.500
La 0.250 0.250 0.250
Se 0.000 0.000 0.000



No. 15
The following is a GGA-PBE calculation of a geometry-optimized LaHgSe2 structure, from Alexandria.

- Uncorrected formation energy: -4.27 eV per formula unit

a = 3.964 Å, b = 3.967 Å, c = 7.966 Å
α = 60.21°, β = 90.00°, γ = 90.00°
Fractional coordinates of all 4 atoms:
Hg 0.500 0.250 0.250
La 0.500 0.750 0.750
Se 0.000 0.043 0.958
Se 0.000 0.457 0.542



No. 16
The following is a GGA-PBE calculation of a geometry-optimized LaHgSe2 structure, from Alexandria.

- Uncorrected formation energy: -3.10 eV per formula unit

a = 5.237 Å, b = 5.237 Å, c = 5.237 Å
α = 60.00°, β = 60.00°, γ = 60.00°
Fractional coordinates of all 4 atoms:
Hg 0.500 0.500 0.500
La 0.750 0.750 0.750
Se 0.000 0.000 0.000
Se 0.250 0.250 0.250



No. 17
The following is a GGA-PBE calculation of a geometry-optimized La3Hg5Se12 structure, from Alexandria.

- Uncorrected formation energy: -13.38 eV per formula unit

a = 14.544 Å, b = 14.544 Å, c = 14.544 Å
α = 109.47°, β = 109.47°, γ = 109.47°
Fractional coordinates of all 80 atoms:
La 0.750 0.375 0.125
La 0.875 0.750 0.125
La 0.375 0.750 0.625
La 0.250 0.125 0.375
La 0.875 0.125 0.250
La 0.375 0.625 0.250
La 0.625 0.375 0.750
La 0.125 0.875 0.750
La 0.750 0.875 0.625
La 0.625 0.250 0.375
La 0.125 0.250 0.875
La 0.250 0.625 0.875
Hg 0.125 0.375 0.250
Hg 0.000 0.500 0.000
Hg 0.000 0.000 0.000
Hg 0.375 0.250 0.125
Hg 0.500 0.000 0.500
Hg 0.500 0.500 0.000
Hg 0.125 0.750 0.375
Hg 0.750 0.125 0.875
Hg 0.750 0.625 0.375
Hg 0.375 0.125 0.750
Hg 0.625 0.875 0.250
Hg 0.500 0.500 0.500
Hg 0.500 0.000 0.000
Hg 0.000 0.000 0.500
Hg 0.250 0.375 0.625
Hg 0.250 0.875 0.125
Hg 0.000 0.500 0.500
Hg 0.875 0.250 0.625
Hg 0.625 0.750 0.875
Hg 0.875 0.625 0.750
Se 0.720 0.135 0.049
Se 0.329 0.549 0.414
Se 0.951 0.365 0.280
Se 0.549 0.220 0.135
Se 0.585 0.720 0.671
Se 0.951 0.586 0.171
Se 0.329 0.780 0.415
Se 0.086 0.915 0.135
Se 0.586 0.951 0.671
Se 0.720 0.585 0.171
Se 0.780 0.451 0.365
Se 0.829 0.914 0.049
Se 0.135 0.720 0.549
Se 0.365 0.414 0.085
Se 0.085 0.914 0.365
Se 0.415 0.135 0.586
Se 0.085 0.171 0.220
Se 0.451 0.671 0.086
Se 0.829 0.915 0.280
Se 0.135 0.415 0.086
Se 0.365 0.951 0.780
Se 0.586 0.635 0.415
Se 0.914 0.829 0.549
Se 0.780 0.329 0.915
Se 0.414 0.365 0.585
Se 0.086 0.171 0.451
Se 0.220 0.671 0.085
Se 0.171 0.085 0.720
Se 0.635 0.049 0.220
Se 0.865 0.585 0.914
Se 0.549 0.329 0.914
Se 0.585 0.865 0.414
Se 0.915 0.829 0.780
Se 0.915 0.086 0.635
Se 0.865 0.280 0.451
Se 0.171 0.086 0.951
Se 0.635 0.586 0.915
Se 0.414 0.049 0.329
Se 0.280 0.415 0.829
Se 0.220 0.549 0.635
Se 0.914 0.085 0.865
Se 0.671 0.220 0.585
Se 0.451 0.780 0.865
Se 0.049 0.414 0.829
Se 0.415 0.280 0.329
Se 0.049 0.635 0.720
Se 0.671 0.451 0.586
Se 0.280 0.865 0.951



No. 18
The following is a GGA-PBE calculation of a geometry-optimized LaHgSe4 structure, from Alexandria.

- Uncorrected formation energy: -2.34 eV per formula unit

a = 5.900 Å, b = 5.900 Å, c = 5.900 Å
α = 60.00°, β = 60.00°, γ = 60.00°
Fractional coordinates of all 6 atoms:
La 0.000 0.000 0.000
Hg 0.750 0.750 0.750
Se 0.875 0.375 0.375
Se 0.375 0.375 0.875
Se 0.375 0.875 0.375
Se 0.375 0.375 0.375



No. 19
The following is a GGA-PBE calculation of a geometry-optimized LaHgSe structure, from Alexandria.

- E above lowest polymorph: 52.4 meV/atom
- Uncorrected formation energy: -3.72 eV per formula unit

a = 5.023 Å, b = 5.023 Å, c = 8.604 Å
α = 73.03°, β = 73.03°, γ = 60.00°
Fractional coordinates of all 6 atoms:
Se 0.287 0.287 0.140
Se 0.713 0.713 0.860
Hg 0.160 0.160 0.519
Hg 0.840 0.840 0.481
La 0.412 0.412 0.763
La 0.588 0.588 0.237



No. 20
The following is a GGA-PBE calculation of a geometry-optimized LaHgSe2 structure, from Alexandria.

- Uncorrected formation energy: -4.44 eV per formula unit

a = 9.016 Å, b = 9.016 Å, c = 9.016 Å
α = 28.70°, β = 28.70°, γ = 28.70°
Fractional coordinates of all 4 atoms:
Hg 0.000 0.000 0.000
Se 0.894 0.894 0.894
Se 0.106 0.106 0.106
La 0.500 0.500 0.500



No. 21
The following is a GGA-PBE calculation of a geometry-optimized La2HgSe structure, from Alexandria.

- E above lowest polymorph: 349.0 meV/atom
- Uncorrected formation energy: -3.43 eV per formula unit

a = 6.640 Å, b = 6.640 Å, c = 6.640 Å
α = 140.91°, β = 140.91°, γ = 56.48°
Fractional coordinates of all 4 atoms:
Hg 0.750 0.250 0.500
La 0.000 0.000 0.000
La 0.250 0.750 0.500
Se 0.500 0.500 0.000



No. 22
The following is a GGA-PBE calculation of a geometry-optimized La2SmHgSe5 structure, from Alexandria.

- Uncorrected formation energy: -14.05 eV per formula unit

a = 4.205 Å, b = 9.186 Å, c = 12.912 Å
α = 90.00°, β = 90.00°, γ = 103.23°
Fractional coordinates of all 18 atoms:
La 0.869 0.737 0.806
La 0.121 0.241 0.684
La 0.131 0.263 0.306
La 0.879 0.759 0.184
Sm 0.805 0.609 0.504
Sm 0.195 0.391 0.004
Hg 0.541 0.082 0.964
Hg 0.459 0.918 0.464
Se 0.357 0.714 0.999
Se 0.693 0.387 0.842
Se 0.498 0.996 0.771
Se 0.292 0.584 0.664
Se 0.958 0.917 0.590
Se 0.643 0.286 0.499
Se 0.307 0.613 0.342
Se 0.502 0.004 0.271
Se 0.708 0.416 0.164
Se 0.042 0.083 0.090



No. 23
The following is a GGA-PBE calculation of a geometry-optimized SrLaHgSe2 structure, from Alexandria.

- Uncorrected formation energy: -2.51 eV per formula unit

a = 5.694 Å, b = 7.134 Å, c = 5.694 Å
α = 90.00°, β = 90.00°, γ = 90.00°
Fractional coordinates of all 5 atoms:
Sr 0.000 0.500 0.000
Hg 0.500 0.500 0.500
Se 0.000 0.000 0.500
Se 0.500 0.000 0.000
La 0.000 0.000 0.000